Entry 1:
VASP calculation (PBE) on a geometry-optimized CsTl2HgAu structure.

Structure (POSCAR):
```
CsTl2HgAu
1.0
-0.935 5.362 1.435
-1.102 -1.606 5.281
6.689 0.733 1.619
Tl Au Cs Hg
2 1 1 1
direct
0.500 0.000 0.000 Tl
0.000 0.500 0.000 Tl
0.000 0.000 0.000 Au
0.000 0.000 0.500 Cs
0.500 0.500 0.500 Hg
```

Calculated values
The calculation puts the density of states at the Fermi level at 4.83 states/eV per cell. As for the energy of formation from the pure elements: -0.005 eV per atom. The calculation puts the polymorph energy (0 for the lowest one) at 16 kJ/mol of formula units.

***

Entry 2:
VASP calculation (PBE) on a geometry-optimized NdSbAu structure.

Structure (POSCAR):
```
NdSbAu
1.0
-2.495 0.134 -3.890
0.543 -5.318 -3.279
-5.740 -2.379 0.851
Sb Au Nd
2 2 2
direct
0.252 0.058 0.437 Sb
0.748 0.563 0.942 Sb
0.182 0.795 0.841 Au
0.818 0.159 0.205 Au
0.000 0.632 0.368 Nd
0.500 0.173 0.827 Nd
```

Calculated values
The calculation puts the density of states at the Fermi level at 2.14 states/eV per cell. As for the total energy: -0.3600 Ry per atom.

***

Entry 3:
VASP calculation (PBE) on a geometry-optimized SrTl2PtAu structure.

Structure (POSCAR):
```
SrTl2PtAu
1.0
5.251 0.000 0.000
0.000 5.251 0.000
0.000 0.000 5.865
Sr Au Tl Pt
1 1 2 1
direct
0.000 0.000 0.500 Sr
0.500 0.500 0.500 Au
0.500 0.000 0.000 Tl
0.000 0.500 0.000 Tl
0.000 0.000 0.000 Pt
```

Calculated values
The calculation puts the density of states at the Fermi level at 3.26 states/eV per cell. As for the energy of formation from the pure elements: -0.236 eV per atom.

***

Entry 4:
VASP calculation (PBE) on a geometry-optimized Pm3Sm structure.

Structure (POSCAR):
```
Pm3Sm
1.0
5.150 0.000 0.000
0.000 5.150 0.000
0.000 0.000 5.150
Pm Sm
3 1
direct
0.000 0.500 0.500 Pm
0.500 0.000 0.500 Pm
0.500 0.500 0.000 Pm
0.000 0.000 0.000 Sm
```

Calculated values
The calculation puts the density of states at the Fermi level at 6.48 states/eV per cell. As for the energy of formation from the pure elements: 0.015 eV per atom. The calculation puts the polymorph energy (0 for the lowest one) at 5 kJ/mol of formula units.

***

Entry 5:
VASP calculation (PBE) on a geometry-optimized SnAu6 structure.

Structure (POSCAR):
```
SnAu6
1.0
-1.266 -0.767 -6.273
-5.265 -1.406 3.442
1.725 6.110 1.112
Au Sn
6 1
direct
0.750 0.500 0.250 Au
0.500 0.250 0.750 Au
0.250 0.750 0.500 Au
0.250 0.500 0.750 Au
0.500 0.750 0.250 Au
0.750 0.250 0.500 Au
0.000 0.000 0.000 Sn
```

Calculated values
The calculation puts the density of states at the Fermi level at 5.50 states/eV per cell. As for the energy of formation from the pure elements: 0.630 eV per atom.

***

Entry 6:
VASP calculation (PBE) on a geometry-optimized TbZnHg2 structure.

Structure (POSCAR):
```
TbZnHg2
1.0
-1.193 4.210 -0.535
-4.002 -1.352 -1.720
-1.807 0.021 4.188
Zn Hg Tb
1 2 1
direct
0.500 0.000 0.000 Zn
0.000 0.500 0.000 Hg
0.000 0.000 0.500 Hg
0.500 0.500 0.500 Tb
```

Calculated values
The calculation puts the density of states at the Fermi level at 2.85 states/eV per cell. As for the energy of formation from the pure elements: -0.276 eV per atom.

***

Entry 7:
VASP calculation (PBE) on a geometry-optimized TbPtRh structure.

Structure (POSCAR):
```
TbPtRh
1.0
-1.657 -1.846 -2.519
0.182 -2.904 2.008
-3.260 3.416 2.123
Rh Tb Pt
1 1 1
direct
0.949 0.949 0.898 Rh
0.616 0.616 0.232 Tb
0.285 0.285 0.571 Pt
```

Calculated values
The calculation puts the density of states at the Fermi level at 4.84 states/eV per cell. As for the energy of formation from the pure elements: -0.596 eV per atom. The calculation puts the polymorph energy (0 for the lowest one) at 99 kJ/mol of formula units.

***

Entry 8:
VASP calculation (PBE) on a geometry-optimized Ho3InGa3 structure.

Structure (POSCAR):
```
Ho3InGa3
1.0
4.786 0.000 0.000
0.000 8.885 0.000
0.000 -4.442 7.695
Ga Ho In
6 6 2
direct
0.250 0.837 0.797 Ga
0.250 0.960 0.163 Ga
0.750 0.163 0.203 Ga
0.750 0.797 0.960 Ga
0.750 0.040 0.837 Ga
0.250 0.203 0.040 Ga
0.750 0.431 0.097 Ho
0.250 0.334 0.431 Ho
0.750 0.903 0.334 Ho
0.250 0.569 0.903 Ho
0.750 0.666 0.569 Ho
0.250 0.097 0.666 Ho
0.250 0.667 0.333 In
0.750 0.333 0.667 In
```

Calculated values
The calculation puts the density of states at the Fermi level at 8.57 states/eV per cell. As for the energy of formation from the pure elements: -0.455 eV per atom. The calculation puts the polymorph energy (0 for the lowest one) at 77 kJ/mol of formula units.

***

Entry 9:
VASP calculation (PBE) on a geometry-optimized CeCdN structure.

Structure (POSCAR):
```
CeCdN
1.0
4.046 0.000 0.000
0.000 4.046 0.000
0.000 0.000 8.004
Cd N Ce
2 2 2
direct
0.500 0.000 0.583 Cd
0.000 0.500 0.417 Cd
0.500 0.500 0.000 N
0.000 0.000 0.000 N
0.500 0.000 0.133 Ce
0.000 0.500 0.867 Ce
```

Calculated values
The calculation puts the density of states at the Fermi level at 3.81 states/eV per cell. The calculation puts the polymorph energy (0 for the lowest one) at 0 kJ/mol of formula units.

***

Entry 10:
VASP calculation (PBE) on a geometry-optimized Be2TeP structure.

Structure (POSCAR):
```
Be2TeP
1.0
-0.357 3.509 0.207
-2.997 -1.771 0.604
1.589 -0.259 7.128
Be Te P
2 1 1
direct
0.500 0.500 0.232 Be
0.000 0.000 0.058 Be
0.500 0.500 0.865 Te
0.000 0.000 0.345 P
```

Calculated values
The calculation puts the density of states at the Fermi level at 2.16 states/eV per cell. The calculation puts the polymorph energy (0 for the lowest one) at 108 kJ/mol of formula units.

***

Entry 11:
VASP calculation (PBE) on a geometry-optimized ZrTlCdIn2 structure.

Structure (POSCAR):
```
ZrTlCdIn2
1.0
5.322 0.000 0.000
0.000 5.436 0.000
0.000 0.000 5.322
Zr Tl In Cd
1 1 2 1
direct
0.500 0.500 0.500 Zr
0.000 0.500 0.000 Tl
0.000 0.000 0.500 In
0.500 0.000 0.000 In
0.000 0.000 0.000 Cd
```

Calculated values
The calculation puts the density of states at the Fermi level at 4.11 states/eV per cell. As for the energy of formation from the pure elements: 0.811 eV per atom.

***

Entry 12:
VASP calculation (PBE) on a geometry-optimized Dy3AlSb structure.

Structure (POSCAR):
```
Dy3AlSb
1.0
4.236 0.446 -0.576
-1.015 9.569 -0.061
-2.842 -4.154 7.957
Sb Dy Al
2 6 2
direct
0.004 0.284 0.754 Sb
0.996 0.716 0.246 Sb
0.201 0.651 0.951 Dy
0.914 0.001 0.164 Dy
0.086 0.999 0.836 Dy
0.309 0.378 0.559 Dy
0.799 0.349 0.049 Dy
0.691 0.622 0.441 Dy
0.504 0.744 0.754 Al
0.496 0.256 0.246 Al
```

Calculated values
The calculation puts the density of states at the Fermi level at 8.17 states/eV per cell. As for the total energy: -0.3512 Ry per atom.

***

| no. | magnetization (μB/cell) |
| --- | --- |
| 1 | 0.000 |
| 2 | 0.000 |
| 3 | 0.000 |
| 4 | 0.000 |
| 5 | 0.000 |
| 6 | 0.000 |
| 7 | 0.000 |
| 8 | 0.000 |
| 9 | 0.000 |
| 10 | 0.000 |
| 11 | 0.000 |
| 12 | 1.990 |